Here is a relaxed structure of BaZrAl from Alexandria. Energies are from GGA-PBE.

The structure in extended XYZ format:
```
3
Lattice="-1.702 2.139 6.157 1.702 -2.139 6.157 1.702 2.139 -6.157" Properties=species:S:1:pos:R:3 pbc="T T T"
Ba 0.000 0.000 0.000
Zr 0.000 0.000 8.919
Al 0.000 0.000 3.708
```

The space-group type is Imm2, No. 44. The value obtained for the formation energy from the elements is 0.17 eV per atom. The calculation puts the offset from the most stable computed form at 0.035 eV per atom. Its crystal system is orthorhombic.

=====

Here is a relaxed structure of Ba2Hg3OsO6 from Alexandria. Energies are from GGA-PBE.

The structure in extended XYZ format:
```
12
Lattice="3.206 -5.564 0.000 3.206 5.564 0.000 -2.050 0.000 7.051" Properties=species:S:1:pos:R:3 pbc="T T T"
Ba 3.206 3.707 0.000
Ba 3.206 -3.707 0.000
Hg -1.025 0.000 3.525
Hg 2.181 1.699 3.525
Hg 2.181 -1.699 3.525
Os 3.206 0.000 0.000
O 0.368 1.358 5.990
O 1.635 0.000 1.077
O 0.368 -1.358 5.990
O 3.995 1.358 1.061
O 2.727 0.000 5.974
O 3.995 -1.358 1.061
```

The space-group type is C2/m, No. 12. The raw formation energy comes out at -1278 meV per atom. Its crystal system is monoclinic.